# 1
This record from the Alexandria database describes crystalline BeZnIn at its relaxed geometry. The functional is PBE.

Unit cell a=4.1052 b=4.1491 c=6.5610 alpha=107.50 beta=105.39 gamma=94.27
Last column: nearest neighbours and their distance in Å.
Atoms (fractional coordinates):
Be 0.0000 0.0000 0.0000  2 Be 2.27-2.32, 3 Zn 2.37-2.40
Be 0.4157 0.9295 0.8285  2 Be 2.27-2.32, 3 Zn 2.43-2.51
Zn 0.0607 0.4229 0.8303  4 Be 2.37-2.60, 2 Zn 2.58
Zn 0.7957 0.7927 0.5972  3 Be 2.40-2.51, 2 Zn 2.58
In 0.2876 0.1980 0.4433  1 Be 2.67, 3 Zn 2.84-2.94
In 0.6873 0.5429 0.1501  3 Be 2.70-2.76, 3 Zn 2.70-2.86

Properties
DFT formation energy	0.7	eV per formula unit
energy above the most stable polymorph in this dataset	5	kJ/mol of formula units

# 2
This record from the Alexandria database describes crystalline Pm2SiSn at its relaxed geometry. The functional is PBE.

Unit cell a=4.8650 b=4.8650 c=4.3367 alpha=90.00 beta=90.00 gamma=90.00
Last column: nearest neighbours and their distance in Å.
Atoms (fractional coordinates):
Pm 0.0000 0.5000 0.0000  4 Sn 3.26, 4 Si 3.26, 4 Pm 3.44
Pm 0.5000 0.0000 0.0000  4 Sn 3.26, 4 Si 3.26, 4 Pm 3.44
Si 0.0000 0.0000 0.5000  8 Pm 3.26, 4 Sn 3.44
Sn 0.5000 0.5000 0.5000  8 Pm 3.26, 4 Si 3.44

Properties
energy relative to the elements, uncorrected	-510	meV/atom

# 3
This record from the Alexandria database describes crystalline SmMgZn2Ni2 at its relaxed geometry. The functional is PBE.

Unit cell a=4.2558 b=4.2558 c=6.5865 alpha=90.00 beta=90.00 gamma=120.00
Last column: nearest neighbours and their distance in Å.
Atoms (fractional coordinates):
Sm 0.0000 0.0000 0.0000  6 Ni 3.15, 6 Zn 3.15, 2 Mg 3.29
Mg 0.0000 0.0000 0.5000  6 Zn 2.79, 6 Ni 2.79
Zn 0.3333 0.6667 0.2997  4 Ni 2.46-2.64
Zn 0.6667 0.3333 0.7003  4 Ni 2.46-2.64
Ni 0.3333 0.6667 0.7007  4 Zn 2.46-2.64
Ni 0.6667 0.3333 0.2993  4 Zn 2.46-2.64

Properties
DFT formation energy	-1.8	eV per formula unit

# 4
This record from the Alexandria database describes crystalline K2VInCl6 at its relaxed geometry. The functional is PBE.

Unit cell a=7.3332 b=7.3365 c=7.3512 alpha=63.02 beta=63.01 gamma=63.01
Last column: nearest neighbours and their distance in Å.
Atoms (fractional coordinates):
K 0.2313 0.2322 0.2309  6 Cl 3.18-3.34
K 0.7687 0.7678 0.7691  6 Cl 3.18-3.34
V 0.0000 0.0000 0.0000  6 Cl 2.41
In 0.5000 0.5000 0.5000  6 Cl 3.09-3.10
Cl 0.1245 0.8010 0.3095  1 V 2.41
Cl 0.1993 0.6910 0.8741  1 V 2.41
Cl 0.3095 0.1253 0.8033  1 V 2.41
Cl 0.6905 0.8747 0.1967  1 V 2.41
Cl 0.8007 0.3090 0.1259  1 V 2.41
Cl 0.8755 0.1990 0.6905  1 V 2.41

Properties
energy relative to the elements, uncorrected	-1442	meV/atom

# 5
This record from the Alexandria database describes crystalline TaCr2CdMo at its relaxed geometry. The functional is PBE.

Unit cell a=4.7142 b=4.7142 c=5.0876 alpha=90.00 beta=90.00 gamma=90.00
Last column: nearest neighbours and their distance in Å.
Atoms (fractional coordinates):
Ta 0.0000 0.0000 0.0000  2 Cd 2.54
Cr 0.0000 0.5000 0.5000  2 Cd 2.36
Cr 0.5000 0.0000 0.5000  2 Cd 2.36
Cd 0.0000 0.0000 0.5000  4 Cr 2.36, 2 Ta 2.54
Mo 0.5000 0.5000 0.0000  4 Ta 3.33, 8 Cr 3.47

Properties
DFT formation energy	11.2	eV per formula unit

# 6
This record from the Alexandria database describes crystalline KRb2NaAg at its relaxed geometry. The functional is PBE.

Unit cell a=6.9347 b=6.9347 c=6.6644 alpha=90.00 beta=90.00 gamma=90.00
Last column: nearest neighbours and their distance in Å.
Atoms (fractional coordinates):
K 0.0000 0.0000 0.0000  2 Ag 3.33
Rb 0.0000 0.5000 0.5000  2 Ag 3.47
Rb 0.5000 0.0000 0.5000  2 Ag 3.47
Na 0.5000 0.5000 0.0000  8 Rb 4.81, 4 K 4.90
Ag 0.0000 0.0000 0.5000  2 K 3.33, 4 Rb 3.47

Properties
DFT formation energy	0.4	eV per formula unit
energy above the most stable polymorph in this dataset	11	kJ/mol of formula units

no.,volume (A^3/atom)
1,16.88
2,25.66
3,17.22
4,29.84
5,22.61
6,64.10